# LaAlOs2, PBEsol geometry, DFT meta-GGA SCAN
# Formation energy from the elements in eV/atom: 0.55
# E above lowest polymorph in meV/atom: 21
# Total energy in eV/cell: -384.9
data_LaAlOs2
_space_group_name_H-M_alt 'C m m 2'
_space_group_IT_number 35
_cell_length_a 2.9415
_cell_length_b 4.8301
_cell_length_c 9.7205
_cell_angle_alpha 90.00
_cell_angle_beta 90.00
_cell_angle_gamma 90.00
loop_
_space_group_symop_operation_xyz
'x,y,z'
'-x,-y,z'
'-x,y,z'
'x,-y,z'
'x+1/2,y+1/2,z'
'-x+1/2,-y+1/2,z'
'-x+1/2,y+1/2,z'
'x+1/2,-y+1/2,z'
loop_
_atom_site_label
_atom_site_type_symbol
_atom_site_fract_x
_atom_site_fract_y
_atom_site_fract_z
La1 La 0.0000 0.0000 0.0000
Al1 Al 0.0000 0.5000 0.7015
Os1 Os 0.0000 0.0000 0.4875
Os2 Os 0.0000 0.5000 0.2643